Here is a geometry-optimized GdThCoPt structure from the Alexandria database. Energies are from GGA-PBE.

Summary:
spin magnetization: 6.75 μB/f.u.
energy relative to the elements: -0.57 eV/atom

Cell: 7.0357 7.0357 7.0357 Å, 90.00 90.00 90.00°
Closest atoms and distances in Å follow each position.
Space group F-43m (No. 216)
Inequivalent atoms, fractional coordinates:
Gd1 0.0000 0.0000 0.0000 (multiplicity 4)  4 Co 3.05, 4 Pt 3.05
Th1 0.0000 0.0000 0.5000 (multiplicity 4)  4 Co 3.05, 4 Pt 3.05
Co1 0.2500 0.2500 0.2500 (multiplicity 4)  4 Gd 3.05, 4 Th 3.05
Pt1 0.2500 0.2500 0.7500 (multiplicity 4)  4 Gd 3.05, 4 Th 3.05